# VTePF2, optimized geometry, DFT PBE with a Hubbard U
data_VTePF2
_cell_length_a 4.150
_cell_length_b 5.801
_cell_length_c 4.150
_cell_angle_alpha 90.00
_cell_angle_beta 90.00
_cell_angle_gamma 90.00
_symmetry_space_group_name_H-M 'P 1'
_symmetry_Int_Tables_number 1
loop_
_symmetry_equiv_pos_as_xyz
'x,y,z'
loop_
_atom_site_label
_atom_site_type_symbol
_atom_site_fract_x
_atom_site_fract_y
_atom_site_fract_z
Te1 Te 0.000 0.000 0.000
F1 F 0.500 0.000 0.000
F2 F 0.000 0.000 0.500
P1 P 0.500 0.500 0.500
V1 V 0.000 0.500 0.000
# * symmetry: P4/mmm (123)
# * M_tot: 1.93 μB per cell
# * theoretical density: 4.1 Mg/m³
# * calculated total energy: -4.348 eV/atom